#one
A plane-wave DFT calculation with GGA-PBE was carried out for a geometry-optimized Rb2BS structure.

Structure (POSCAR):
```
Rb2BS
1.0
0.0000 3.9395 3.9395
3.9395 0.0000 3.9395
3.9395 3.9395 0.0000
Rb B S
2 1 1
Cartesian
1.9698 1.9698 1.9698
5.9093 5.9093 5.9093
0.0000 0.0000 0.0000
3.9395 3.9395 3.9395
```

Computed properties:
The crystal system is cubic. The calculation puts the density of states at the Fermi level at 0.9267 states/eV per atom.



#two
A plane-wave DFT calculation with GGA-PBE was carried out for a geometry-optimized Rb2BS structure.

Structure (POSCAR):
```
Rb2BS
1.0
-2.7260 2.7260 10.2277
2.7260 -2.7260 10.2277
2.7260 2.7260 -10.2277
Rb B S
4 2 2
Cartesian
4.0890 1.3353 -2.5569
1.3353 1.3630 2.5569
-1.3630 1.3908 7.6707
1.3908 1.3630 12.7846
2.7260 0.0000 5.1138
0.0000 0.0000 10.2277
0.0000 0.0000 0.0000
0.0000 2.7260 5.1138
```

Computed properties:
The crystal system is tetragonal. The calculation puts the density of states at the Fermi level at 0.0000 states/eV per atom.



Relative energies, meV/atom: #one 0; #two 185.